Record 1
# Lu2GaPd PBE optimized geometry
data_Lu2GaPd
_cell_length_a 4.844
_cell_length_b 4.844
_cell_length_c 4.844
_cell_angle_alpha 60.00
_cell_angle_beta 60.00
_cell_angle_gamma 60.00
_space_group_name_H-M_alt 'P 1'
_space_group_IT_number 1
loop_
_space_group_symop_operation_xyz
'x,y,z'
loop_
_atom_site_label
_atom_site_fract_x
_atom_site_fract_y
_atom_site_fract_z
Pd1 0.250 0.250 0.250
Lu1 0.750 0.750 0.750
Ga1 0.500 0.500 0.500
Lu2 0.000 0.000 0.000
# - Final energy: -18.8 eV for the cell shown
# - M_tot: 0.2103 μB per atom
# - Space group: F-43m (216)

***

Record 2
# LuGaPdPt PBE optimized geometry
data_LuGaPdPt
_cell_length_a 4.368
_cell_length_b 4.368
_cell_length_c 8.909
_cell_angle_alpha 90.00
_cell_angle_beta 90.00
_cell_angle_gamma 120.00
_space_group_name_H-M_alt 'P 1'
_space_group_IT_number 1
loop_
_space_group_symop_operation_xyz
'x,y,z'
loop_
_atom_site_label
_atom_site_fract_x
_atom_site_fract_y
_atom_site_fract_z
Ga1 0.000 0.000 0.004
Pd1 0.667 0.333 0.413
Lu1 0.333 0.667 0.248
Ga2 0.000 0.000 0.504
Pd2 0.333 0.667 0.913
Pt1 0.333 0.667 0.585
Lu2 0.667 0.333 0.748
Pt2 0.667 0.333 0.085
# - Final energy: -45.7 eV for the cell shown
# - M_tot: 0.0001 μB per atom
# - Space group: P6_3mc (186)

***

Record 3
# LuGaPdPt PBE optimized geometry
data_LuGaPdPt
_cell_length_a 4.361
_cell_length_b 4.361
_cell_length_c 8.947
_cell_angle_alpha 90.00
_cell_angle_beta 90.00
_cell_angle_gamma 120.00
_space_group_name_H-M_alt 'P 1'
_space_group_IT_number 1
loop_
_space_group_symop_operation_xyz
'x,y,z'
loop_
_atom_site_label
_atom_site_fract_x
_atom_site_fract_y
_atom_site_fract_z
Pt1 0.667 0.333 0.667
Ga1 0.000 0.000 0.254
Pd1 0.333 0.667 0.162
Lu1 0.667 0.333 0.000
Pt2 0.667 0.333 0.333
Ga2 0.000 0.000 0.746
Pd2 0.333 0.667 0.838
Lu2 0.333 0.667 0.500
# - Final energy: -45.6 eV for the cell shown
# - M_tot: 0.0013 μB per atom
# - Space group: P-6m2 (187)